1.
DFT (GGA-PBE) results for crystalline Cr2CuRu at its relaxed geometry.

The structure in POSCAR format:
```
Cr2CuRu
1.0
4.2650 0.0000 0.0000
0.0000 4.2650 0.0000
0.0000 0.0000 2.9139
Cr Cu Ru
2 1 1
direct
0.0000 0.5000 0.0000 Cr
0.5000 0.0000 0.0000 Cr
0.0000 0.0000 0.5000 Cu
0.5000 0.5000 0.5000 Ru
```

DFT total energy ... -7.79 eV per atom
Symmetry ... P4/mmm, No. 123
Formation enthalpy at 0 K ... 141 kJ/mol of formula units



2.
DFT (GGA-PBE) results for crystalline Pu4Cl3F4 at its relaxed geometry.

The structure in POSCAR format:
```
Pu4Cl3F4
1.0
-2.0290 3.7153 6.8310
2.0290 -3.7153 6.8310
2.0290 3.7153 -6.8310
Pu Cl F
4 3 4
direct
0.2234 0.2234 0.0000 Pu
0.2699 0.5000 0.7699 Pu
0.7301 0.5000 0.2301 Pu
0.7766 0.7766 0.0000 Pu
0.0000 0.0000 0.0000 Cl
0.3862 0.8862 0.5000 Cl
0.6138 0.1138 0.5000 Cl
0.0130 0.3190 0.6940 F
0.3749 0.6810 0.6940 F
0.6251 0.3190 0.3060 F
0.9870 0.6810 0.3060 F
```

DFT total energy ... -8.72 eV per atom
Symmetry ... Immm, No. 71



3.
DFT (GGA-PBE) results for crystalline NdTmGaGe at its relaxed geometry.

The structure in POSCAR format:
```
NdTmGaGe
1.0
4.0389 0.0000 0.0000
0.0000 4.3706 0.0000
0.0000 0.0000 10.9528
Nd Tm Ga Ge
2 2 2 2
direct
0.0000 0.0000 0.0000 Nd
0.0000 0.5000 0.5000 Nd
0.5000 0.0000 0.2791 Tm
0.5000 0.5000 0.7791 Tm
0.5000 0.0000 0.5659 Ga
0.5000 0.5000 0.0659 Ga
0.0000 0.0000 0.7212 Ge
0.0000 0.5000 0.2212 Ge
```

DFT total energy ... -4.97 eV per atom
ΔE to the lowest computed polymorph ... 0 meV per atom
Symmetry ... Amm2, No. 38
Formation enthalpy at 0 K ... -290 kJ/mol of formula units



4.
DFT (GGA-PBE) results for crystalline Ga2SnHg at its relaxed geometry.

The structure in POSCAR format:
```
Ga2SnHg
1.0
4.9779 0.0000 0.0000
0.0000 6.8333 0.0000
-2.1729 0.0000 5.7110
Ga Sn Hg
4 2 2
direct
0.2369 0.0605 0.4548 Ga
0.2369 0.4395 0.4548 Ga
0.7631 0.5605 0.5452 Ga
0.7631 0.9395 0.5452 Ga
0.0497 0.2500 0.8557 Sn
0.9503 0.7500 0.1443 Sn
0.3440 0.7500 0.8630 Hg
0.6560 0.2500 0.1370 Hg
```

DFT total energy ... -2.52 eV per atom
ΔE to the lowest computed polymorph ... 3 meV per atom
Symmetry ... P2_1/m, No. 11
Formation enthalpy at 0 K ... 27 kJ/mol of formula units



5.
DFT (GGA-PBE) results for crystalline RbCaS2Cl at its relaxed geometry.

The structure in POSCAR format:
```
RbCaS2Cl
1.0
5.4026 0.0000 0.0000
0.0000 5.4026 0.0000
0.0000 0.0000 5.6944
Rb Ca S Cl
1 1 2 1
direct
0.0000 0.0000 0.0000 Rb
0.5000 0.5000 0.5000 Ca
0.0000 0.5000 0.0000 S
0.5000 0.0000 0.0000 S
0.0000 0.0000 0.5000 Cl
```

DFT total energy ... -2.79 eV per atom
ΔE to the lowest computed polymorph ... 888 meV per atom
Symmetry ... P4/mmm, No. 123



6.
DFT (GGA-PBE) results for crystalline NdHoThSc at its relaxed geometry.

The structure in POSCAR format:
```
NdHoThSc
1.0
7.8902 0.0000 0.0000
0.0000 7.8902 0.0000
0.0000 0.0000 7.8902
Nd Ho Th Sc
4 4 4 4
direct
0.0000 0.0000 0.0000 Nd
0.0000 0.5000 0.5000 Nd
0.5000 0.0000 0.5000 Nd
0.5000 0.5000 0.0000 Nd
0.2500 0.2500 0.7500 Ho
0.2500 0.7500 0.2500 Ho
0.7500 0.2500 0.2500 Ho
0.7500 0.7500 0.7500 Ho
0.0000 0.0000 0.5000 Th
0.0000 0.5000 0.0000 Th
0.5000 0.0000 0.0000 Th
0.5000 0.5000 0.5000 Th
0.2500 0.2500 0.2500 Sc
0.2500 0.7500 0.7500 Sc
0.7500 0.2500 0.7500 Sc
0.7500 0.7500 0.2500 Sc
```

DFT total energy ... -5.66 eV per atom
ΔE to the lowest computed polymorph ... 71 meV per atom
Symmetry ... F-43m, No. 216
Formation enthalpy at 0 K ... 43 kJ/mol of formula units



7.
DFT (GGA-PBE) results for crystalline Er7Rh2Au2 at its relaxed geometry.

The structure in POSCAR format:
```
Er7Rh2Au2
1.0
3.9230 -5.3041 0.0000
3.9230 5.3041 0.0000
0.0000 0.0000 6.9790
Er Rh Au
7 2 2
direct
0.0000 0.0000 0.0000 Er
0.0000 0.5000 0.2583 Er
0.0000 0.5000 0.7417 Er
0.5000 0.0000 0.2583 Er
0.5000 0.0000 0.7417 Er
0.5000 0.5000 0.2521 Er
0.5000 0.5000 0.7479 Er
0.2879 0.7121 0.0000 Rh
0.7121 0.2879 0.0000 Rh
0.1948 0.1948 0.5000 Au
0.8052 0.8052 0.5000 Au
```

DFT total energy ... -5.38 eV per atom
ΔE to the lowest computed polymorph ... 146 meV per atom
Symmetry ... Cmmm, No. 65
Formation enthalpy at 0 K ... -578 kJ/mol of formula units



8.
DFT (GGA-PBE) results for crystalline CaPr2Ag3 at its relaxed geometry.

The structure in POSCAR format:
```
CaPr2Ag3
1.0
3.7284 0.0000 0.0000
0.0000 3.7284 0.0000
0.0000 0.0000 11.4918
Ca Pr Ag
1 2 3
direct
0.0000 0.0000 0.0000 Ca
0.0000 0.0000 0.3304 Pr
0.0000 0.0000 0.6696 Pr
0.5000 0.5000 0.1665 Ag
0.5000 0.5000 0.5000 Ag
0.5000 0.5000 0.8335 Ag
```

DFT total energy ... -3.62 eV per atom
ΔE to the lowest computed polymorph ... 9 meV per atom
Symmetry ... P4/mmm, No. 123
Formation enthalpy at 0 K ... -157 kJ/mol of formula units



9.
DFT (GGA-PBE) results for crystalline Cd2InAg3 at its relaxed geometry.

The structure in POSCAR format:
```
Cd2InAg3
1.0
4.7859 -4.6635 0.0000
4.7859 4.6635 0.0000
0.0000 0.0000 5.6542
Cd In Ag
4 2 6
direct
0.0583 0.6094 0.7500 Cd
0.3906 0.9417 0.7500 Cd
0.6094 0.0583 0.2500 Cd
0.9417 0.3906 0.2500 Cd
0.2767 0.7233 0.2500 In
0.7233 0.2767 0.7500 In
0.0000 0.0000 0.0000 Ag
0.0000 0.0000 0.5000 Ag
0.3304 0.3304 0.0000 Ag
0.3304 0.3304 0.5000 Ag
0.6696 0.6696 0.0000 Ag
0.6696 0.6696 0.5000 Ag
```

DFT total energy ... -2.17 eV per atom
ΔE to the lowest computed polymorph ... 42 meV per atom
Symmetry ... Cmcm, No. 63
Formation enthalpy at 0 K ... 11 kJ/mol of formula units



10.
DFT (GGA-PBE) results for crystalline CaErMg2Cd2 at its relaxed geometry.

The structure in POSCAR format:
```
CaErMg2Cd2
1.0
5.0432 0.0000 0.0000
-2.5216 4.3675 0.0000
0.0000 0.0000 7.0776
Ca Er Mg Cd
1 1 2 2
direct
0.0000 0.0000 0.0000 Ca
0.0000 0.0000 0.5000 Er
0.3333 0.6667 0.7290 Mg
0.6667 0.3333 0.2710 Mg
0.3333 0.6667 0.2771 Cd
0.6667 0.3333 0.7229 Cd
```

DFT total energy ... -2.14 eV per atom
Symmetry ... P-3m1, No. 164
Formation enthalpy at 0 K ... -123 kJ/mol of formula units



11.
DFT (GGA-PBE) results for crystalline PmGaHRu at its relaxed geometry.

The structure in POSCAR format:
```
PmGaHRu
1.0
4.0888 0.0000 0.0000
0.0000 4.0888 0.0000
0.0000 0.0000 7.7171
Pm Ga H Ru
2 2 2 2
direct
0.2500 0.2500 0.1586 Pm
0.7500 0.7500 0.8414 Pm
0.2500 0.2500 0.6917 Ga
0.7500 0.7500 0.3083 Ga
0.2500 0.7500 0.0000 H
0.7500 0.2500 0.0000 H
0.2500 0.7500 0.5000 Ru
0.7500 0.2500 0.5000 Ru
```

DFT total energy ... -5.59 eV per atom
Symmetry ... P4/nmm, No. 129



12.
DFT (GGA-PBE) results for crystalline ZrScP2 at its relaxed geometry.

The structure in POSCAR format:
```
ZrScP2
1.0
6.5730 0.0000 0.0000
0.0000 6.9971 0.0000
-0.9156 0.0000 3.1283
Zr Sc P
2 2 4
direct
0.0000 0.0000 0.0000 Zr
0.5000 0.5000 0.0000 Zr
0.0000 0.5000 0.0000 Sc
0.5000 0.0000 0.0000 Sc
0.2500 0.2500 0.5000 P
0.2500 0.7500 0.5000 P
0.7500 0.2500 0.5000 P
0.7500 0.7500 0.5000 P
```

DFT total energy ... -7.41 eV per atom
ΔE to the lowest computed polymorph ... 452 meV per atom
Symmetry ... C2/m, No. 12
Formation enthalpy at 0 K ... -380 kJ/mol of formula units



Look up the DFT total energy of the sixth one. -5.66 eV per atom